Record 1
## LaCdTe2 (PBE-GGA)

Data for crystalline LaCdTe2 at its relaxed geometry. Values from VASP.

* ΔE_f (raw): -1.000 eV per atom
* uncorrected energy: -32.25 eV/cell
* crystal system: triclinic

```
&SYSTEM
  ibrav = 0, nat = 8, ntyp = 3
/
ATOMIC_SPECIES
Cd 112.41 Cd.upf
Te 127.60 Te.upf
La 138.91 La.upf
ATOMIC_POSITIONS crystal
Cd 0.724 0.778 0.500
Cd 0.276 0.222 0.500
Te 0.281 0.218 0.001
Te 0.719 0.782 0.999
Te 0.765 0.266 0.591
Te 0.235 0.734 0.409
La 0.818 0.320 0.127
La 0.182 0.680 0.873
CELL_PARAMETERS angstrom
6.353 0.010 -0.005
-0.783 6.312 0.001
-1.356 -1.545 6.204
```

Record 2
## La3Tl4InS8 (PBE-GGA)

Data for crystalline La3Tl4InS8 at its relaxed geometry. Values from VASP.

* ΔE_f (raw): -1.236 eV per atom
* uncorrected energy: -79.78 eV/cell
* crystal system: trigonal

```
&SYSTEM
  ibrav = 0, nat = 16, ntyp = 4
/
ATOMIC_SPECIES
La 138.91 La.upf
Tl 204.38 Tl.upf
In 114.82 In.upf
S 32.06 S.upf
ATOMIC_POSITIONS crystal
La 0.500 0.500 0.000
La 0.500 0.500 0.500
La 0.000 0.500 0.500
Tl 0.500 0.000 0.000
Tl 0.500 0.000 0.500
Tl 0.000 0.000 0.000
Tl 0.000 0.000 0.500
In 0.000 0.500 0.000
S 0.226 0.702 0.976
S 0.226 0.702 0.452
S 0.265 0.294 0.530
S 0.750 0.702 0.976
S 0.250 0.298 0.024
S 0.735 0.706 0.470
S 0.774 0.298 0.548
S 0.774 0.298 0.024
CELL_PARAMETERS angstrom
8.386 0.000 0.000
0.000 8.907 0.359
-4.193 -4.188 5.934
```